Model 1:
Below is a geometry-optimized LiFeSiO4 structure, with properties calculated at the GGA-PBEsol level.

Structure (POSCAR):
```
LiFeSiO4
1.0
-2.827 -4.849 1.040
6.425 -3.674 0.331
0.845 2.904 15.828
O Fe Li Si
32 8 8 8
Cartesian
-1.006 -2.573 12.049
0.150 -4.928 4.216
3.563 -2.962 9.414
5.715 -3.991 7.682
1.960 -1.381 1.007
1.413 -4.372 9.877
4.662 -3.124 14.760
1.381 0.643 8.869
5.450 -3.046 5.150
2.800 -3.393 11.996
0.216 -3.403 15.048
4.294 -0.692 12.983
3.063 -6.263 8.330
1.293 -4.788 1.757
3.151 -0.831 15.443
1.644 -2.227 5.203
4.142 -4.987 1.552
0.302 -0.633 15.648
2.484 -4.238 16.193
-1.412 -4.165 7.072
3.956 -5.747 4.163
3.034 -3.887 6.784
-1.271 -1.628 9.517
-0.218 -2.495 2.440
1.410 -1.733 10.416
5.856 -1.454 10.127
0.881 -2.658 7.785
0.488 0.127 13.036
4.228 -2.217 2.151
3.977 -7.532 2.117
3.031 -1.247 7.322
0.467 1.913 15.082
3.976 -4.514 8.295
4.575 -1.408 8.740
0.468 -1.105 8.904
-0.577 -2.263 16.328
0.914 -3.054 1.035
3.530 -2.566 16.165
5.021 -3.357 0.871
-0.131 -4.212 8.459
2.503 -6.719 4.786
4.104 -2.538 12.965
1.795 -0.511 4.513
3.958 -4.148 5.065
1.941 1.099 12.413
0.485 -1.472 12.134
2.648 -5.109 12.686
0.339 -3.082 4.235
4.567 -6.091 2.740
-0.123 0.471 14.459
3.950 0.111 14.308
2.306 -3.105 10.516
0.494 -5.730 2.892
6.211 -2.876 6.532
-1.767 -2.744 10.667
2.137 -2.515 6.683
```

Output
- total moment (μB/f.u.) = 4.96

=====

Model 2:
Below is a geometry-optimized LiFeSiO4 structure, with properties calculated at the GGA-PBEsol level.

Structure (POSCAR):
```
LiFeSiO4
1.0
-1.683 -7.891 2.723
2.737 -0.551 -8.045
6.389 3.073 4.717
O Si Fe Li
24 6 6 6
Cartesian
3.136 -4.768 -1.906
3.006 -7.310 -3.835
2.886 -5.545 3.093
4.521 0.135 -3.954
4.558 1.734 3.520
3.195 -4.261 -4.503
2.913 0.604 -1.319
2.369 -0.282 -5.520
0.394 -5.943 -0.783
6.728 -2.213 0.951
4.528 -0.621 0.944
5.344 -3.688 -2.985
2.036 -4.081 0.991
5.414 -4.950 4.835
6.954 0.403 0.351
-0.992 -5.734 1.518
3.061 -2.242 -2.717
4.407 -0.917 3.979
4.351 -3.543 2.171
1.784 -1.375 2.349
5.735 -1.229 -1.340
0.381 -2.892 -1.443
8.459 0.083 -2.372
4.130 -5.788 0.717
5.364 0.412 4.081
4.009 -0.396 -5.419
5.990 -0.922 0.254
-0.071 -6.727 0.582
3.703 -3.721 -3.039
3.341 -4.760 1.726
6.598 -2.377 -2.519
3.929 -6.237 -1.090
1.218 -1.912 -2.796
6.205 -3.458 2.249
3.471 0.844 0.448
0.861 -2.936 1.897
3.717 -1.693 2.356
4.092 -0.655 -2.250
2.039 -5.818 -4.618
3.472 -4.897 4.828
7.479 1.344 -1.266
1.517 -4.380 -0.864
```

Output
- total moment (μB/f.u.) = 5.00

=====

Model 3:
Below is a geometry-optimized LiFeSiO4 structure, with properties calculated at the GGA-PBEsol level.

Structure (POSCAR):
```
LiFeSiO4
1.0
5.017 0.035 0.000
-0.129 6.361 0.000
0.000 0.000 10.565
O Si Li Fe
16 4 4 4
Cartesian
1.499 1.167 1.160
4.088 6.379 1.843
3.390 5.230 9.405
0.800 0.017 8.722
1.084 4.849 0.905
3.656 1.686 4.378
3.805 1.547 9.660
0.945 2.032 6.442
1.644 3.181 3.439
3.612 0.399 7.219
3.244 3.216 7.125
1.232 4.710 6.187
1.276 5.998 3.346
3.849 2.835 1.937
3.943 4.365 4.123
1.040 3.562 8.628
0.702 6.171 1.815
1.613 3.388 7.097
3.275 3.008 3.468
4.186 0.225 8.750
1.653 0.182 6.958
0.791 3.017 1.676
3.235 6.215 3.606
4.097 3.380 8.889
0.771 4.524 4.389
4.117 1.872 6.176
1.544 5.035 9.671
3.344 1.361 0.893
```

Output
- total moment (μB/f.u.) = 5.00

=====

Most stable structure: model 2

=====

Model 1:
Below is a geometry-optimized LiFeSiO4 structure, with properties calculated at the GGA-PBEsol level.

Structure (POSCAR):
```
LiFeSiO4
1.0
7.175 0.000 0.000
0.000 7.175 0.000
0.000 0.000 7.175
Fe O Si Li
4 16 4 4
Cartesian
4.968 1.380 2.207
2.207 4.968 1.380
5.794 5.794 5.794
1.380 2.207 4.968
6.996 2.730 5.886
2.299 3.766 4.445
2.424 1.163 6.012
6.012 2.424 1.163
4.876 0.179 6.317
3.408 0.858 1.288
0.858 1.288 3.408
1.163 6.012 2.424
4.445 2.299 3.766
2.730 5.886 6.996
4.751 4.751 4.751
6.317 4.876 0.179
3.766 4.445 2.299
1.288 3.408 0.858
0.179 6.317 4.876
5.886 6.996 2.730
6.943 3.355 0.232
3.819 3.819 3.819
3.355 0.232 6.943
0.232 6.943 3.355
5.366 5.397 1.778
1.778 5.366 5.397
1.809 1.809 1.809
5.397 1.778 5.366
```

Output
- total moment (μB/f.u.) = 5.00

=====

Model 2:
Below is a geometry-optimized LiFeSiO4 structure, with properties calculated at the GGA-PBEsol level.

Structure (POSCAR):
```
LiFeSiO4
1.0
-2.620 -6.349 4.989
-3.080 -1.450 -7.776
8.461 -0.490 -0.493
Fe O Si Li
6 24 6 6
Cartesian
-1.295 -3.662 -2.692
1.376 -3.952 -4.549
3.297 -2.169 -2.600
1.384 -4.337 1.269
-0.537 -6.120 -0.680
4.055 -4.627 -0.588
1.205 -5.849 -4.709
3.611 -2.872 -0.926
1.555 -2.440 1.429
4.971 -1.352 -2.979
-2.716 -3.528 -3.949
4.437 -5.838 -2.017
2.978 -3.608 -3.705
-0.851 -5.417 -2.354
1.044 -5.028 3.007
5.476 -4.761 0.669
-3.233 -7.640 -2.713
1.716 -3.261 -6.287
0.106 -2.957 -3.659
0.753 -7.517 -0.874
4.865 -6.897 2.224
5.993 -0.649 -0.567
-1.627 -4.750 3.384
2.007 -0.771 -2.406
-1.677 -2.450 -1.263
-2.105 -1.392 -5.504
2.654 -5.332 0.379
-0.218 -4.681 0.425
4.387 -3.539 -6.664
-2.211 -6.937 -0.301
-2.558 -2.992 -5.469
5.318 -5.297 2.189
-0.321 -5.778 3.453
3.081 -2.511 -6.733
6.272 -1.419 -2.016
-3.512 -6.870 -1.265
4.219 -5.004 -3.765
-1.459 -3.285 0.485
-0.370 -6.526 -3.781
0.384 -1.123 -3.428
3.130 -1.763 0.500
2.376 -7.166 0.147
```

Output
- total moment (μB/f.u.) = 5.00

=====

Most stable structure: model 1

=====

Model 1:
Below is a geometry-optimized Li2FeSi3O8 structure, with properties calculated at the GGA-PBEsol level.

Structure (POSCAR):
```
Li2FeSi3O8
1.0
5.042 -0.055 0.048
1.606 5.871 0.050
1.900 0.993 5.777
Li O Si Fe
2 8 3 1
Cartesian
2.633 1.457 3.922
5.814 5.324 2.105
4.989 3.579 2.574
5.452 1.148 1.482
3.658 2.791 5.011
4.187 5.593 0.691
2.923 1.981 1.799
5.527 5.851 3.906
3.033 5.944 4.741
6.352 4.112 5.766
1.911 1.219 0.715
4.474 2.516 1.504
6.523 5.637 5.155
4.084 4.423 4.106
```

Output
- total moment (μB/f.u.) = 4.00

=====

Model 2:
Below is a geometry-optimized Li2FeSi3O8 structure, with properties calculated at the GGA-PBEsol level.

Structure (POSCAR):
```
Li2FeSi3O8
1.0
6.515 -0.020 0.000
-2.255 6.377 0.000
0.000 0.000 8.053
O Si Fe Li
16 6 2 4
Cartesian
1.971 5.646 5.328
0.307 3.124 5.534
-0.206 0.642 6.258
3.953 3.234 1.508
4.466 5.715 2.231
0.814 1.874 3.033
2.290 0.711 1.301
2.090 1.668 6.889
2.170 4.689 2.862
3.446 4.483 7.059
4.616 0.994 3.276
4.215 0.313 7.767
4.337 3.803 4.180
-0.356 5.363 7.303
0.045 6.044 3.740
-0.077 2.554 0.153
3.797 4.291 2.718
1.696 6.005 3.761
2.564 0.352 7.788
0.463 2.066 6.744
2.905 5.926 6.643
1.355 0.431 2.616
5.030 3.927 8.042
-0.770 2.430 4.015
1.372 3.008 1.576
2.889 3.350 5.602
4.778 1.483 1.394
-0.518 4.874 5.420
```

Output
- total moment (μB/f.u.) = 4.00

=====

Most stable structure: model 2

=====

Model 1:
Below is a geometry-optimized Li2Ti3FeO8 structure, with properties calculated at the GGA-PBEsol level.

Structure (POSCAR):
```
Li2Ti3FeO8
1.0
5.863 0.000 0.000
-2.932 5.078 0.000
0.000 0.000 9.555
O Li Fe Ti
16 4 2 6
Cartesian
1.310 2.629 6.373
1.516 4.260 3.793
2.932 1.693 3.785
1.416 0.817 8.570
1.621 2.449 1.596
0.000 0.000 1.771
4.242 2.449 1.596
-1.310 2.629 6.373
0.000 3.385 8.563
0.000 1.635 3.793
2.932 3.443 8.570
2.932 0.180 1.596
-1.516 4.260 3.793
0.000 4.898 6.373
0.000 0.000 6.548
4.448 0.817 8.570
0.000 0.000 4.795
2.932 1.693 5.795
0.000 3.385 1.017
0.000 0.000 0.017
2.932 1.693 0.076
0.000 3.385 4.853
-1.445 4.220 7.496
1.445 4.220 7.496
1.486 0.858 2.718
2.932 3.362 2.718
0.000 1.716 7.496
4.377 0.858 2.718
```

Output
- total moment (μB/f.u.) = 3.98

=====

Model 2:
Below is a geometry-optimized Li2Ti3FeO8 structure, with properties calculated at the GGA-PBEsol level.

Structure (POSCAR):
```
Li2Ti3FeO8
1.0
-1.235 5.144 -2.513
-0.965 0.314 -5.814
-5.432 1.087 -2.035
O Ti Fe Li
8 3 1 2
Cartesian
-2.579 4.318 -3.933
-3.029 4.464 -6.644
-2.554 1.637 -5.479
-5.112 4.825 -4.882
-5.057 2.138 -6.417
-5.703 5.018 -7.769
-1.929 1.528 -2.593
-4.613 1.993 -3.738
-3.219 0.710 -3.951
-3.692 0.864 -6.799
-5.880 1.243 -4.948
-1.555 3.475 -2.550
-6.078 3.062 -7.813
-3.820 3.249 -5.182
```

Output
- total moment (μB/f.u.) = 3.99

=====

Most stable structure: model 2

=====

Model 1:
Below is a geometry-optimized LiVFeO4 structure, with properties calculated at the GGA-PBEsol level.

Structure (POSCAR):
```
LiVFeO4
1.0
5.857 0.000 0.000
2.929 4.993 0.062
2.929 1.651 4.712
O Fe Li V
8 2 2 2
Cartesian
5.857 4.926 3.603
2.929 1.664 1.133
7.337 2.518 3.572
8.786 4.979 3.641
5.857 1.717 1.171
4.377 2.518 3.572
7.337 4.126 1.202
4.377 4.126 1.202
2.929 0.000 0.000
5.857 3.322 2.387
1.464 0.825 2.356
4.393 0.825 2.356
2.929 3.309 0.615
8.786 3.334 4.159
```

Output
- total moment (μB/f.u.) = 4.00

=====

Model 2:
Below is a geometry-optimized LiVFeO4 structure, with properties calculated at the GGA-PBEsol level.

Structure (POSCAR):
```
LiVFeO4
1.0
5.120 -0.038 0.000
-1.955 4.732 0.000
0.000 0.000 6.070
Fe O Li V
2 8 2 2
Cartesian
1.583 2.347 3.035
1.583 2.347 0.000
0.904 1.052 1.518
3.227 1.238 3.188
0.636 1.232 4.553
3.227 1.238 5.917
2.261 3.642 4.553
-0.062 3.456 0.153
2.529 3.461 1.518
-0.062 3.456 2.882
3.975 0.734 1.518
-0.810 3.960 4.553
-0.909 4.027 1.518
4.074 0.667 4.553
```

Output
- total moment (μB/f.u.) = 4.00

=====

Most stable structure: model 1

=====

Model 1:
Below is a geometry-optimized Li2V3FeO8 structure, with properties calculated at the GGA-PBEsol level.

Structure (POSCAR):
```
Li2V3FeO8
1.0
-1.254 -3.965 3.907
3.824 -1.364 4.009
-0.952 1.641 5.527
O Fe Li V
8 1 2 3
Cartesian
1.723 -3.645 7.153
-0.685 -1.912 8.125
1.167 -2.677 10.158
1.692 -0.694 8.173
2.314 -1.774 5.310
-0.098 -0.055 6.295
0.428 -0.966 3.324
-0.081 -3.001 5.262
1.902 -4.065 8.985
0.820 -1.864 6.705
-0.294 0.398 4.477
-1.495 -0.343 7.506
0.912 0.890 7.555
0.318 -0.989 9.406
```

Output
- total moment (μB/f.u.) = 0.98

=====

Model 2:
Below is a geometry-optimized Li2V3FeO8 structure, with properties calculated at the GGA-PBEsol level.

Structure (POSCAR):
```
Li2V3FeO8
1.0
-5.067 -0.235 2.709
-2.572 -5.060 0.923
-0.355 -2.153 5.321
Fe O V Li
1 8 3 2
Cartesian
-3.997 -3.724 4.477
-2.253 -2.926 4.757
-3.603 -5.393 5.381
-4.391 -2.056 3.572
-5.741 -4.523 4.196
-5.918 -5.514 6.627
-4.735 -3.204 6.191
-2.077 -1.935 2.326
-3.259 -4.245 2.762
-3.819 -2.648 1.816
-2.711 -1.194 4.015
-1.464 -3.607 3.122
-6.993 -6.516 7.832
-1.001 -0.933 1.121
```

Output
- total moment (μB/f.u.) = 4.32

=====

Most stable structure: model 1